A relaxed CeAsPRu3 crystal, computed with PBE.

a b c (Å): 7.8166 7.8166 5.6384
angles (deg): 90.00 90.00 138.01
Fractional coordinates of all 12 atoms:
Ce 0.2214 0.7786 0.7500
Ce 0.7786 0.2214 0.2500
As 0.0943 0.9057 0.2500
As 0.9057 0.0943 0.7500
P 0.4192 0.5808 0.2500
P 0.5808 0.4192 0.7500
Ru 0.2526 0.2526 0.0000
Ru 0.2526 0.2526 0.5000
Ru 0.2610 0.7390 0.2500
Ru 0.7390 0.2610 0.7500
Ru 0.7474 0.7474 0.0000
Ru 0.7474 0.7474 0.5000

## Properties
The calculation puts the density of states at the Fermi level at 9.476 states/eV/cell. Its magnetization is 0.2 μB per formula unit. Its energy is -7.847 eV/atom.

***

A relaxed NaTiClO2 crystal, computed with PBE.

a b c (Å): 6.5252 3.7110 7.7896
angles (deg): 90.00 98.03 90.00
Fractional coordinates of all 10 atoms:
Na 0.2255 0.2500 0.0901
Na 0.7745 0.7500 0.9099
Ti 0.0945 0.2500 0.6462
Ti 0.9055 0.7500 0.3538
Cl 0.4473 0.2500 0.7824
Cl 0.5527 0.7500 0.2176
O 0.0327 0.7500 0.1767
O 0.1132 0.7500 0.5698
O 0.8868 0.2500 0.4302
O 0.9673 0.2500 0.8233

## Properties
As for the formation energy (no corrections): -12.16 eV/f.u. The calculation puts the density of states at the Fermi level at 0.000 states/eV/cell. Its magnetization is 0.0 μB per formula unit. Its energy is -6.628 eV/atom.

***

A relaxed Tl3Ag5 crystal, computed with PBE.

a b c (Å): 8.9336 8.9336 5.3149
angles (deg): 90.00 90.00 120.00
Fractional coordinates of all 16 atoms:
Tl 0.0000 0.3878 0.2500
Tl 0.0000 0.6122 0.7500
Tl 0.3878 0.0000 0.2500
Tl 0.3878 0.3878 0.7500
Tl 0.6122 0.0000 0.7500
Tl 0.6122 0.6122 0.2500
Ag 0.0000 0.1863 0.7500
Ag 0.0000 0.8137 0.2500
Ag 0.1863 0.0000 0.7500
Ag 0.1863 0.1863 0.2500
Ag 0.3333 0.6667 0.0000
Ag 0.3333 0.6667 0.5000
Ag 0.6667 0.3333 0.0000
Ag 0.6667 0.3333 0.5000
Ag 0.8137 0.0000 0.2500
Ag 0.8137 0.8137 0.7500

## Properties
The calculation puts the density of states at the Fermi level at 3.702 states/eV/cell. Its magnetization is 0.0 μB per formula unit. For the energy above the lowest structure with this stoichiometry, the calculation gives 0.027 eV per atom. Its energy is -2.502 eV/atom.

***

A relaxed LaCeLuPa crystal, computed with PBE.

a b c (Å): 5.5401 5.5401 5.5401
angles (deg): 60.00 60.00 60.00
Fractional coordinates of all 4 atoms:
La 0.0000 0.0000 0.0000
Ce 0.5000 0.5000 0.5000
Lu 0.7500 0.7500 0.7500
Pa 0.2500 0.2500 0.2500

## Properties
The calculation puts the density of states at the Fermi level at 14.608 states/eV/cell. Its magnetization is 3.3 μB per formula unit. Its energy is -5.829 eV/atom.

***

A relaxed CaCd2Pt crystal, computed with PBE.

a b c (Å): 11.0472 11.0472 11.0472
angles (deg): 158.05 158.05 31.24
Fractional coordinates of all 8 atoms:
Ca 0.0000 0.0000 0.0000
Ca 0.7500 0.2500 0.5000
Cd 0.1499 0.6250 0.0249
Cd 0.3750 0.3999 0.5249
Cd 0.6001 0.1250 0.9751
Cd 0.8750 0.8501 0.4751
Pt 0.2500 0.7500 0.5000
Pt 0.5000 0.5000 0.0000

## Properties
The calculation puts the density of states at the Fermi level at 2.336 states/eV/cell. Its magnetization is 0.0 μB per formula unit. Its energy is -2.757 eV/atom.

***

A relaxed HfAl2Ge crystal, computed with PBE.

a b c (Å): 5.9697 5.9697 5.9697
angles (deg): 101.95 101.95 125.87
Fractional coordinates of all 8 atoms:
Hf 0.0000 0.0000 0.0000
Hf 0.7500 0.2500 0.5000
Al 0.1627 0.6250 0.0377
Al 0.3750 0.4127 0.5377
Al 0.5873 0.1250 0.9623
Al 0.8750 0.8373 0.4623
Ge 0.2500 0.7500 0.5000
Ge 0.5000 0.5000 0.0000

## Properties
The calculation puts the density of states at the Fermi level at 4.957 states/eV/cell. Its magnetization is 0.0 μB per formula unit. Its energy is -5.475 eV/atom.

***

A relaxed Ta2CrPb crystal, computed with PBE.

a b c (Å): 3.0098 3.0098 8.8363
angles (deg): 90.00 90.00 111.78
Fractional coordinates of all 4 atoms:
Ta 0.0000 0.0000 0.2139
Ta 0.0000 0.0000 0.7861
Cr 0.5000 0.5000 0.0000
Pb 0.5000 0.5000 0.5000

## Properties
The calculation puts the density of states at the Fermi level at 2.136 states/eV/cell. Its magnetization is 0.0 μB per formula unit. Its energy is -8.846 eV/atom.

***

A relaxed Rb2MgZn crystal, computed with PBE.

a b c (Å): 6.4399 6.4399 6.4399
angles (deg): 60.00 60.00 60.00
Fractional coordinates of all 4 atoms:
Rb 0.2500 0.2500 0.2500
Rb 0.7500 0.7500 0.7500
Mg 0.0000 0.0000 0.0000
Zn 0.5000 0.5000 0.5000

## Properties
The calculation puts the density of states at the Fermi level at 3.920 states/eV/cell. Its magnetization is 0.0 μB per formula unit. For the energy above the lowest structure with this stoichiometry, the calculation gives 0.060 eV per atom. Its energy is -0.909 eV/atom.

***

A relaxed YAu2Cl crystal, computed with PBE.

a b c (Å): 5.2849 5.2849 3.9404
angles (deg): 90.00 90.00 118.28
Fractional coordinates of all 4 atoms:
Y 0.0000 0.0000 0.0000
Au 0.2367 0.7633 0.5000
Au 0.7633 0.2367 0.5000
Cl 0.5000 0.5000 0.0000

## Properties
As for the formation energy (no corrections): -3.49 eV/f.u. The calculation puts the density of states at the Fermi level at 0.534 states/eV/cell. Its magnetization is 0.0 μB per formula unit. Its energy is -4.589 eV/atom.

***

A relaxed Tm2LuGe crystal, computed with PBE.

a b c (Å): 10.1525 10.1525 10.1525
angles (deg): 20.17 20.17 20.17
Fractional coordinates of all 4 atoms:
Tm 0.2362 0.2362 0.2362
Tm 0.7638 0.7638 0.7638
Lu 0.0000 0.0000 0.0000
Ge 0.5000 0.5000 0.5000

## Properties
The calculation puts the density of states at the Fermi level at 5.673 states/eV/cell. Its magnetization is 0.5 μB per formula unit. Its energy is -4.729 eV/atom.

***

A relaxed PmDy5Tm3 crystal, computed with PBE.

a b c (Å): 9.6478 9.6478 6.9655
angles (deg): 90.04 90.04 60.26
Fractional coordinates of all 18 atoms:
Pm 0.1371 0.8629 0.7500
Pm 0.8629 0.1371 0.2500
Dy 0.1391 0.5001 0.2498
Dy 0.1955 0.5001 0.7501
Dy 0.1966 0.8034 0.2500
Dy 0.5001 0.1391 0.7498
Dy 0.5001 0.1955 0.2501
Dy 0.4999 0.8045 0.7499
Dy 0.4999 0.8609 0.2502
Dy 0.8034 0.1966 0.7500
Dy 0.8045 0.4999 0.2499
Dy 0.8609 0.4999 0.7502
Tm 0.1694 0.1687 0.0000
Tm 0.1687 0.1694 0.5000
Tm 0.5000 0.5000 0.0000
Tm 0.5000 0.5000 0.5000
Tm 0.8306 0.8313 0.0000
Tm 0.8313 0.8306 0.5000

## Properties
The calculation puts the density of states at the Fermi level at 22.992 states/eV/cell. Its magnetization is 0.0 μB per formula unit. For the energy above the lowest structure with this stoichiometry, the calculation gives 0.000 eV per atom. Its energy is -4.526 eV/atom.

***

A relaxed Zr3CdHg4 crystal, computed with PBE.

a b c (Å): 4.6732 4.6732 7.9387
angles (deg): 90.00 90.00 90.00
Fractional coordinates of all 8 atoms:
Zr 0.0000 0.0000 0.0000
Zr 0.0000 0.0000 0.5000
Zr 0.5000 0.5000 0.0000
Cd 0.5000 0.5000 0.5000
Hg 0.0000 0.5000 0.2519
Hg 0.0000 0.5000 0.7481
Hg 0.5000 0.0000 0.2519
Hg 0.5000 0.0000 0.7481

## Properties
The calculation puts the density of states at the Fermi level at 4.719 states/eV/cell. Its magnetization is 0.0 μB per formula unit. For the energy above the lowest structure with this stoichiometry, the calculation gives 0.000 eV per atom. Its energy is -3.589 eV/atom.